No. 1
VASP calculation (GGA-PBE) on a relaxed NaMgPt crystal.

Summary:
D(E_F) = 0.64 states/eV/cell
Energy above the most stable polymorph in this dataset = 12 kJ/mol of formula units
Crystal system = orthorhombic
Energy of formation from the pure elements = -0.417 eV/atom

Lattice parameters (Å, degrees): 2.9746 4.3865 5.2512 90.00 90.00 90.00
Last column: nearest neighbours and their distance in Å.
Space group Pmmm (No. 47)
One atom of each set of equivalent atoms:
Na 0.0000 0.0000 0.0000 x1  2 Na 2.97, 4 Pt 3.02
Mg 0.0000 0.5000 0.5000 x1  4 Pt 2.65
Pt 0.5000 0.0000 0.5000 x1  4 Mg 2.65

No. 2
VASP calculation (GGA-PBE) on a relaxed NaMgPt crystal.

Summary:
D(E_F) = 5.42 states/eV/cell
Energy above the most stable polymorph in this dataset = 0 kJ/mol of formula units
Crystal system = orthorhombic
Energy of formation from the pure elements = -0.457 eV/atom

Lattice parameters (Å, degrees): 5.7347 8.6815 10.2391 90.00 90.00 90.00
Last column: nearest neighbours and their distance in Å.
Space group Fmmm (No. 69)
One atom of each set of equivalent atoms:
Na 0.0000 0.1779 0.0000 x8  4 Pt 3.00, 3 Na 3.09-3.13
Mg 0.0000 0.0000 0.3115 x8  4 Pt 2.68
Pt 0.2500 0.2500 0.2500 x8  4 Mg 2.68, 2 Pt 2.87